1.
First-principles (PBE-GGA) data for an optimized crystal structure of Tb5Dy2Y12, as listed in the Alexandria database.

Properties
Calculated total energy in eV per atom: -5.663
Space group: C2/m
Polymorph energy (0 for the lowest one) in meV per atom: 39.3

abc: 9.3317 9.0552 8.6307
angles: 91.69 90.00 121.02
Fractional positions:
Y 0.4380 0.2586 0.6667
Y 0.6711 0.7011 0.7622
Y 0.5576 0.1152 0.3335
Dy 0.3277 0.0000 0.0000
Y 0.9700 0.2989 0.2378
Tb 0.0000 0.0000 0.5000
Y 0.4424 0.8848 0.6665
Tb 0.7045 0.4090 0.0204
Tb 0.7700 0.5399 0.4282
Tb 0.2300 0.4601 0.5718
Y 0.3289 0.2989 0.2378
Tb 0.2955 0.5910 0.9796
Dy 0.6723 0.0000 0.0000
Y 0.0753 0.1506 0.8729
Y 0.8207 0.2586 0.6667
Y 0.5620 0.7413 0.3333
Y 0.0300 0.7011 0.7622
Y 0.1793 0.7413 0.3333
Y 0.9247 0.8494 0.1271



2.
First-principles (PBE-GGA) data for an optimized crystal structure of Tb5Dy4Y2, as listed in the Alexandria database.

Properties
Calculated total energy in eV per atom: -4.785
Space group: C2/m
Polymorph energy (0 for the lowest one) in meV per atom: 151.3

abc: 6.6442 8.9109 10.1821
angles: 39.95 70.96 68.11
Fractional positions:
Y 0.7986 0.0980 0.3047
Dy 0.5892 0.2265 0.5950
Tb 0.6490 0.2731 0.9031
Y 0.2014 0.9020 0.6953
Tb 0.0000 0.5000 0.5000
Tb 0.1747 0.2731 0.9031
Dy 0.7552 0.6731 0.8166
Dy 0.2448 0.3269 0.1834
Tb 0.3510 0.7269 0.0969
Dy 0.4108 0.7735 0.4050
Tb 0.8253 0.7269 0.0969



3.
First-principles (PBE-GGA) data for an optimized crystal structure of Tb2Dy2Y7, as listed in the Alexandria database.

Properties
Calculated total energy in eV per atom: -5.680
Space group: Imm2
Polymorph energy (0 for the lowest one) in meV per atom: 9.8

abc: 5.5284 8.1629 9.3587
angles: 115.86 107.18 90.00
Fractional positions:
Y 0.1377 0.4672 0.2755
Y 0.8605 0.7746 0.7211
Y 0.1395 0.0535 0.2789
Y 0.6605 0.7838 0.3209
Dy 0.5000 0.3323 0.0000
Tb 0.7008 0.3227 0.4015
Y 0.8623 0.1917 0.7245
Y 0.5000 0.9206 0.0000
Y 0.3395 0.4628 0.6791
Dy 0.0000 0.6235 0.0000
Tb 0.2992 0.9212 0.5985



Number 1: DOS at the Fermi energy 1.453 states/eV/atom. Number 2: DOS at the Fermi energy 1.595 states/eV/atom. Number 3: DOS at the Fermi energy 1.568 states/eV/atom.